A plane-wave DFT calculation with GGA-PBE was carried out for a geometry-optimized Th4Te2RuC structure.

```
data_Th4Te2RuC
_cell_length_a 7.146
_cell_length_b 4.023
_cell_length_c 7.852
_cell_angle_alpha 90.00
_cell_angle_beta 107.01
_cell_angle_gamma 90.00
_symmetry_space_group_name_H-M 'P 1 2/m 1'
_symmetry_Int_Tables_number 10
loop_
_symmetry_equiv_pos_as_xyz
'x,y,z'
'-x,-y,-z'
'-x,y,-z'
'x,-y,z'
loop_
_atom_site_label
_atom_site_fract_x
_atom_site_fract_y
_atom_site_fract_z
Th1 0.215 0.000 0.191
Th2 0.255 0.500 0.806
Te1 0.000 0.000 0.500
Te2 0.500 0.500 0.500
Ru1 0.500 0.000 0.000
C1 0.000 0.500 0.000
```

Values from the calculation:
E_form (uncorrected) = -770.7 meV per atom
ρ = 9.97 g cm⁻³